# 1
The following is a DFT calculation (PBE-GGA) of RbBaSr2Si after structural relaxation.

Cell: 6.317 6.317 6.674 Å, 90.00 90.00 90.00°
Last column: magnetic moment on the atom in μB.
Element x y z (fractional)
Ba 0.000 0.000 0.500  0.06
Sr 0.500 0.000 0.000  0.01
Sr 0.000 0.500 0.000  0.01
Si 0.000 0.000 0.000  0.01
Rb 0.500 0.500 0.500  0.01

Computed properties:
M_tot ... 0.107 μB/atom
Symmetry ... P4/mmm, No. 123
Uncorrected energy ... -12.00 eV per cell
DOS at the Fermi energy ... 0.6723 states/eV per atom
Raw formation energy ... -64.1 meV/atom

***

# 2
The following is a DFT calculation (PBE-GGA) of Rb2BaSiTe4 after structural relaxation.

Cell: 9.721 9.721 10.178 Å, 119.41 119.41 88.23°
Element x y z (fractional)
Te 0.166 0.168 0.963
Te 0.716 0.314 0.525
Te 0.284 0.686 0.475
Te 0.834 0.832 0.037
Te 0.186 0.784 0.975
Te 0.668 0.666 0.463
Te 0.814 0.216 0.025
Te 0.332 0.334 0.537
Ba 0.000 0.500 0.000
Ba 0.000 0.500 0.500
Rb 0.500 0.000 0.500
Rb 0.500 0.500 0.000
Rb 0.500 0.000 0.000
Rb 0.000 0.000 0.500
Si 0.500 0.500 0.500
Si 0.000 0.000 0.000

Computed properties:
M_tot ... 0.000 μB/atom
Symmetry ... C2/c, No. 15
Uncorrected energy ... -53.55 eV per cell
DOS at the Fermi energy ... 0.3721 states/eV per atom
Raw formation energy ... -615.7 meV/atom

***

# 3
The following is a DFT calculation (PBE-GGA) of RbBa2Sn2 after structural relaxation.

Cell: 9.537 9.537 4.873 Å, 90.00 90.00 90.00°
Element x y z (fractional)
Rb 0.000 0.000 0.000
Rb 0.500 0.500 0.000
Ba 0.671 0.829 0.500
Ba 0.329 0.171 0.500
Ba 0.829 0.329 0.500
Ba 0.171 0.671 0.500
Sn 0.111 0.389 0.000
Sn 0.889 0.611 0.000
Sn 0.611 0.111 0.000
Sn 0.389 0.889 0.000

Computed properties:
M_tot ... 0.000 μB/atom
Symmetry ... P4/mbm, No. 127
Uncorrected energy ... -29.92 eV per cell
DOS at the Fermi energy ... 1.0349 states/eV per atom
Energy above the most stable polymorph in this dataset ... 0.0 meV per atom

***

# 4
The following is a DFT calculation (PBE-GGA) of RbBa2Sn after structural relaxation.

Cell: 5.524 5.524 10.422 Å, 74.63 74.63 60.00°
Element x y z (fractional)
Rb 0.504 0.504 0.487
Sn 0.664 0.664 0.008
Ba 0.283 0.283 0.151
Ba 0.048 0.048 0.855

Computed properties:
M_tot ... 0.000 μB/atom
Symmetry ... R3m, No. 160
Uncorrected energy ... -9.89 eV per cell
DOS at the Fermi energy ... 0.7630 states/eV per atom

***

# 5
The following is a DFT calculation (PBE-GGA) of RbBa2Sn after structural relaxation.

Cell: 10.636 10.636 8.554 Å, 51.56 51.56 90.00°
Last column: magnetic moment on the atom in μB.
Element x y z (fractional)
Sn 0.750 0.250 0.500  0.01
Sn 0.000 0.000 0.000  0.01
Ba 0.875 0.947 0.750  0.06
Ba 0.375 0.303 0.750  0.06
Ba 0.697 0.125 0.250  0.06
Ba 0.053 0.625 0.250  0.06
Rb 0.500 0.500 0.000  0.01
Rb 0.250 0.750 0.500  0.01

Computed properties:
M_tot ... 0.144 μB/atom
Symmetry ... I-42d, No. 122
Uncorrected energy ... -18.54 eV per cell
DOS at the Fermi energy ... 0.9379 states/eV per atom

***

# 6
The following is a DFT calculation (PBE-GGA) of RbBa2Sn6 after structural relaxation.

Cell: 5.031 8.812 8.812 Å, 120.00 90.00 90.00°
Element x y z (fractional)
Ba 0.000 0.333 0.667
Ba 0.000 0.667 0.333
Sn 0.500 0.000 0.337
Sn 0.500 0.663 0.663
Sn 0.500 0.337 0.000
Sn 0.500 0.337 0.337
Sn 0.500 0.663 0.000
Sn 0.500 0.000 0.663
Rb 0.000 0.000 0.000

Computed properties:
M_tot ... 0.000 μB/atom
Symmetry ... P6/mmm, No. 191
Uncorrected energy ... -32.11 eV per cell
DOS at the Fermi energy ... 0.4884 states/eV per atom

***

# 7
The following is a DFT calculation (PBE-GGA) of Rb3BaSn after structural relaxation.

Cell: 7.220 7.220 7.220 Å, 90.00 90.00 90.00°
Last column: magnetic moment on the atom in μB.
Element x y z (fractional)
Rb 0.500 0.000 0.000  0.01
Rb 0.000 0.000 0.500  0.02
Rb 0.000 0.500 0.000  0.01
Ba 0.500 0.500 0.500  -0.02
Sn 0.000 0.000 0.000  0.40

Computed properties:
M_tot ... 0.200 μB/atom
Symmetry ... Pm-3m, No. 221
Uncorrected energy ... -7.76 eV per cell
DOS at the Fermi energy ... 0.5644 states/eV per atom
Energy above the most stable polymorph in this dataset ... 0.0 meV per atom

***

# 8
The following is a DFT calculation (PBE-GGA) of RbBa2Sn9 after structural relaxation.

Cell: 6.630 6.630 11.131 Å, 72.67 72.67 60.00°
Element x y z (fractional)
Sn 0.593 0.593 0.744
Sn 0.657 0.657 0.030
Sn 0.343 0.343 0.970
Sn 0.407 0.931 0.256
Sn 0.593 0.069 0.744
Sn 0.069 0.593 0.744
Sn 0.407 0.407 0.256
Sn 0.500 0.500 0.500
Sn 0.931 0.407 0.256
Ba 0.140 0.140 0.579
Ba 0.860 0.860 0.421
Rb 0.000 0.000 0.000

Computed properties:
M_tot ... 0.000 μB/atom
Symmetry ... R-3m, No. 166
Uncorrected energy ... -44.50 eV per cell
DOS at the Fermi energy ... 0.2370 states/eV per atom

***

# 9
The following is a DFT calculation (PBE-GGA) of RbBaSn2 after structural relaxation.

Cell: 9.869 9.869 7.744 Å, 50.42 50.42 90.00°
Element x y z (fractional)
Sn 0.118 0.625 0.250
Sn 0.875 0.882 0.750
Sn 0.375 0.368 0.750
Sn 0.632 0.125 0.250
Ba 0.000 0.000 0.000
Ba 0.750 0.250 0.500
Rb 0.500 0.500 0.000
Rb 0.250 0.750 0.500

Computed properties:
M_tot ... 0.000 μB/atom
Symmetry ... I-42d, No. 122
Uncorrected energy ... -21.40 eV per cell
DOS at the Fermi energy ... 1.4804 states/eV per atom
Energy above the most stable polymorph in this dataset ... 495.9 meV per atom

***

# 10
The following is a DFT calculation (PBE-GGA) of RbBa3Sn after structural relaxation.

Cell: 6.938 6.938 6.938 Å, 90.00 90.00 90.00°
Element x y z (fractional)
Ba 0.000 0.000 0.500
Ba 0.000 0.500 0.000
Ba 0.500 0.000 0.000
Sn 0.000 0.000 0.000
Rb 0.500 0.500 0.500

Computed properties:
M_tot ... 0.001 μB/atom
Symmetry ... Pm-3m, No. 221
Uncorrected energy ... -11.68 eV per cell
DOS at the Fermi energy ... 1.3114 states/eV per atom
Energy above the most stable polymorph in this dataset ... 0.0 meV per atom

***

# 11
The following is a DFT calculation (PBE-GGA) of RbBaSn4 after structural relaxation.

Cell: 4.948 7.064 7.064 Å, 71.70 69.50 69.50°
Element x y z (fractional)
Ba 0.437 0.063 0.063
Rb 0.565 0.435 0.435
Sn 0.162 0.654 0.021
Sn 0.836 0.481 0.846
Sn 0.836 0.846 0.481
Sn 0.162 0.021 0.654

Computed properties:
M_tot ... 0.000 μB/atom
Symmetry ... Imm2, No. 44
Uncorrected energy ... -21.01 eV per cell
DOS at the Fermi energy ... 0.4560 states/eV per atom
Energy above the most stable polymorph in this dataset ... 0.0 meV per atom

***

# 12
The following is a DFT calculation (PBE-GGA) of RbBaSn2 after structural relaxation.

Cell: 8.183 6.973 11.070 Å, 90.00 90.00 90.00°
Element x y z (fractional)
Ba 0.250 0.359 0.127
Ba 0.750 0.141 0.627
Ba 0.250 0.859 0.373
Ba 0.750 0.641 0.873
Sn 0.427 0.834 0.058
Sn 0.427 0.334 0.442
Sn 0.927 0.666 0.558
Sn 0.927 0.166 0.942
Sn 0.073 0.334 0.442
Sn 0.573 0.166 0.942
Sn 0.073 0.834 0.058
Sn 0.573 0.666 0.558
Rb 0.750 0.007 0.273
Rb 0.250 0.493 0.773
Rb 0.250 0.993 0.727
Rb 0.750 0.507 0.227

Computed properties:
M_tot ... 0.000 μB/atom
Symmetry ... Pnma, No. 62
Uncorrected energy ... -50.73 eV per cell
DOS at the Fermi energy ... 0.2250 states/eV per atom
Energy above the most stable polymorph in this dataset ... 0.0 meV per atom

***

Question: Which value of uncorrected energy does entry 2 give?
Answer: -53.55 eV per cell